Density functional theory data (PBE) for a geometry-optimized PuSb3S6 structure.

Cell and atoms, written as CIF:
```
data_PuSb3S6
_chemical_formula_sum 'Pu2 Sb6 S12'
_symmetry_space_group_name_H-M 'P 1 21/m 1'
_symmetry_Int_Tables_number 11
_symmetry_space_group_name_Hall '-P 2yb'
_cell_length_a 11.406
_cell_length_b 3.858
_cell_length_c 11.893
_cell_angle_alpha 90.00
_cell_angle_beta 101.44
_cell_angle_gamma 90.00
loop_
_atom_site_label
_atom_site_fract_x
_atom_site_fract_y
_atom_site_fract_z
Pu1 0.179 0.250 0.027
Sb1 0.028 0.750 0.294
Sb2 0.338 0.250 0.416
Sb3 0.412 0.750 0.845
S1 0.041 0.750 0.889
S2 0.120 0.250 0.442
S3 0.213 0.750 0.213
S4 0.262 0.250 0.801
S5 0.376 0.750 0.043
S6 0.382 0.750 0.560
```

V   513.0 Å³/cell
Formation energy without anion corrections   -0.593 eV/atom